Here is crystalline SrVO3 at its relaxed geometry from Alexandria via LeMat-Bulk. Energies are from PBE+U.

abc: 3.7167 3.7167 12.5348
angles: 90.00 90.00 120.00
With the nearest neighbours (Å) after each atom.
Space group P6_3/mmc (No. 194)
Asymmetric unit:
Sr: 0.3333 0.6667 0.2500 [2 per cell]  3 O 2.15
V: 0.0000 0.0000 0.0000 [2 per cell]  6 O 2.23
O: 0.0000 0.0000 0.2500 [2 per cell]  3 Sr 2.15
O: 0.3333 0.6667 0.0496 [4 per cell]  3 V 2.23, 3 O 2.48

E_tot in eV/atom: -6.283